i | Entry from Alexandria: ZnRe2B after structural relaxation (PBE).

- SG = I-42d, No. 122

Lattice parameters (Å, degrees): 3.7555 3.7555 8.7931 77.67 77.67 90.00
Fractional positions:
Re 0.5696 0.1250 0.2500
Re 0.1804 0.6250 0.2500
Re 0.3750 0.4304 0.7500
Re 0.8750 0.8196 0.7500
Zn 0.0000 0.0000 0.0000
Zn 0.7500 0.2500 0.5000
B 0.5000 0.5000 0.0000
B 0.2500 0.7500 0.5000



ii | Entry from Alexandria: ZnRe2B after structural relaxation (PBE).

- SG = Fm-3m, No. 225

Lattice parameters (Å, degrees): 4.1174 4.1174 4.1174 60.00 60.00 60.00
Fractional positions:
Re 0.2500 0.2500 0.2500
Re 0.7500 0.7500 0.7500
Zn 0.5000 0.5000 0.5000
B 0.0000 0.0000 0.0000



Least stable structure: i